Record 1
Below is crystalline YSi3Rh3 at its relaxed geometry, with properties calculated at the PBE level.

For the distance to the lowest polymorph of the same formula, the calculation gives 0.2500 eV/atom.

It has space group Pm-3n (No. 223), with a = 6.4812 Å, b = 6.4812 Å, c = 6.4812 Å, α = 90.00°, β = 90.00° and γ = 90.00°. Symmetry generates all atoms from Y at (0.0000, 0.0000, 0.0000), Si at (0.0000, 0.2500, 0.5000) and Rh at (0.0000, 0.5000, 0.2500).

Record 2
Below is crystalline La5SmN5 at its relaxed geometry, with properties calculated at the PBE level.

The uncorrected energy comes out at -169.01 eV per cell.

It has space group C2/m (No. 12), with a = 11.6913 Å, b = 5.2730 Å, c = 7.4134 Å, α = 90.00°, β = 108.51° and γ = 90.00°. Symmetry generates all atoms from La at (0.0000, 0.0000, 0.0000), La at (0.1705, 0.5000, 0.3449), La at (0.1715, 0.5000, 0.8255), Sm at (0.0000, 0.0000, 0.5000), N at (0.0000, 0.5000, 0.5000), N at (0.1604, 0.0000, 0.8305) and N at (0.1694, 0.0000, 0.3379).

Record 3
Below is crystalline RhBr4Cl at its relaxed geometry, with properties calculated at the PBE level.

The uncorrected energy comes out at -39.77 eV per cell.

It has space group F-43m (No. 216), with a = 8.5574 Å, b = 8.5574 Å, c = 8.5574 Å, α = 90.00°, β = 90.00° and γ = 90.00°. Symmetry generates all atoms from Rh at (0.0000, 0.0000, 0.0000), Br at (0.1247, 0.1247, 0.6247) and Cl at (0.2500, 0.2500, 0.2500).

Record 4
Below is crystalline Sc2HgAuI at its relaxed geometry, with properties calculated at the PBE level.

The uncorrected energy comes out at -14.66 eV per cell.

It has space group P4/mmm (No. 123), with a = 5.2764 Å, b = 5.2764 Å, c = 5.5737 Å, α = 90.00°, β = 90.00° and γ = 90.00°. Symmetry generates all atoms from Sc at (0.0000, 0.5000, 0.0000), Hg at (0.0000, 0.0000, 0.5000), Au at (0.5000, 0.5000, 0.5000) and I at (0.0000, 0.0000, 0.0000).

Record 5
Below is crystalline Ho2Ga3Si at its relaxed geometry, with properties calculated at the PBE level.

The uncorrected energy comes out at -27.46 eV per cell.

It has space group Pmm2 (No. 25), with a = 4.0333 Å, b = 4.1571 Å, c = 7.1847 Å, α = 90.00°, β = 90.00° and γ = 90.00°. Symmetry generates all atoms from Ho at (0.0000, 0.0000, 0.0000), Ho at (0.0000, 0.5000, 0.4876), Ga at (0.5000, 0.0000, 0.6594), Ga at (0.5000, 0.5000, 0.1603), Ga at (0.5000, 0.5000, 0.8244) and Si at (0.5000, 0.0000, 0.3281).

Record 6
Below is crystalline LaMoOs at its relaxed geometry, with properties calculated at the PBE level.

As for the formation energy: 0.612 eV per atom. For the distance to the lowest polymorph of the same formula, the calculation gives 0.3996 eV/atom.

It has space group Fmm2 (No. 42), with a = 3.2005 Å, b = 4.9176 Å, c = 14.5777 Å, α = 90.00°, β = 90.00° and γ = 90.00°. Symmetry generates all atoms from La at (0.0000, 0.0000, 0.0000), Mo at (0.0000, 0.0000, 0.3126) and Os at (0.0000, 0.0000, 0.6753).

Record 7
Below is crystalline KRu2Pt at its relaxed geometry, with properties calculated at the PBE level.

As for the formation energy: 1.009 eV per atom. For the distance to the lowest polymorph of the same formula, the calculation gives 0.5727 eV/atom.

It has space group Cmmm (No. 65), with a = 5.6593 Å, b = 9.1885 Å, c = 2.6297 Å, α = 90.00°, β = 90.00° and γ = 90.00°. Symmetry generates all atoms from K at (0.0000, 0.0000, 0.0000), Ru at (0.2500, 0.2500, 0.5000) and Pt at (0.0000, 0.5000, 0.0000).

Record 8
Below is crystalline K4CaNp3O12 at its relaxed geometry, with properties calculated at the PBE level.

The uncorrected energy comes out at -316.02 eV per cell.

It has space group Im-3m (No. 229), with a = 8.6175 Å, b = 8.6175 Å, c = 8.6175 Å, α = 90.00°, β = 90.00° and γ = 90.00°. Symmetry generates all atoms from K at (0.2500, 0.2500, 0.2500), Ca at (0.0000, 0.0000, 0.0000), Np at (0.0000, 0.0000, 0.5000), O at (0.0000, 0.0000, 0.2741) and O at (0.0000, 0.2500, 0.5000).